Entry from Alexandria via LeMat-Bulk: FeSi2Ru after structural relaxation (PBEsol).

Structure (extended XYZ):
```
4
Lattice="2.832 0.000 0.000 0.000 2.832 0.000 0.000 0.000 5.628" Properties=species:S:1:pos:R:3 pbc="T T T"
Fe 0.000 0.000 0.000
Si 1.416 1.416 1.328
Si 1.416 1.416 4.300
Ru 0.000 0.000 2.814
```

Uncorrected formation energy in eV/atom: -0.63
Total DFT energy (no corrections) in eV/cell: -33.2
Volume in Å³/atom: 11.3
DOS at the Fermi energy in states/eV per cell: 1.064